This record from Alexandria describes an optimized crystal structure of Ce2PrZnN. The functional is PBE.

Unit cell a=4.8179 b=4.8179 c=5.0995 alpha=90.00 beta=90.00 gamma=90.00
With the nearest neighbours (Å) after each atom.
Sites, in units of the cell vectors:
Ce 0.0000 0.5000 0.0000  2 N 2.41
Ce 0.5000 0.0000 0.0000  2 N 2.41
Pr 0.0000 0.0000 0.5000  2 N 2.55
Zn 0.5000 0.5000 0.5000  4 Pr 3.41, 8 Ce 3.51
N 0.0000 0.0000 0.0000  4 Ce 2.41, 2 Pr 2.55

Calculated values
raw formation energy: -0.61 eV per atom
size of the total moment: 1.4 μB/f.u.
calculated volume: 118.4 Å³/cell